## LiHf2AuO (GGA-PBE)

Data for a relaxed structure of LiHf2AuO.

Cell lengths 4.4043, 4.4043, 3.9444 Å; angles 90.00, 90.00, 90.00 degrees
With the nearest neighbours (Å) after each atom.
Fractional positions:
Li 0.0000 0.0000 0.5000  2 O 1.97
Hf 0.0000 0.5000 0.0000  2 O 2.20
O 0.0000 0.0000 0.0000  2 Li 1.97, 4 Hf 2.20
Au 0.5000 0.5000 0.5000  8 Hf 2.96, 4 Li 3.11
Hf 0.5000 0.0000 0.0000  2 O 2.20

Properties
The symmetry is P4/mmm (123). As for the calculated volume: 77 Å³/f.u. Its uncorrected formation energy is -1.290 eV/atom.